Crystalline InAgW2 at its relaxed geometry, computed with PBE.

Summary:
density of states at the Fermi level = 5.3 states/eV/f.u.
ρ = 13.88 g/cm³
magnetization = 0.00 μB/f.u.
energy of formation = 0.727 eV/atom

a = 9.8815 Å, b = 9.8815 Å, c = 9.8815 Å
α = 16.84°, β = 16.84°, γ = 16.84°
Sites, in units of the cell vectors:
Ag: 0.2500 0.2500 0.2500
W: 0.9989 0.9989 0.9989
W: 0.5011 0.5011 0.5011
In: 0.7500 0.7500 0.7500


Crystalline As2P2S at its relaxed geometry, computed with PBE.

Summary:
E_form (uncorrected) = 0.4312 eV/atom
density of states at the Fermi level = 3.5 states/eV/f.u.
ρ = 3.93 g/cm³
magnetization = 0.00 μB/f.u.

a = 7.5337 Å, b = 7.5337 Å, c = 3.6267 Å
α = 90.00°, β = 90.00°, γ = 90.00°
Sites, in units of the cell vectors:
P: 0.1057 0.6057 0.5000
P: 0.6057 0.8943 0.5000
P: 0.8943 0.3943 0.5000
P: 0.3943 0.1057 0.5000
As: 0.2484 0.7484 0.0000
As: 0.7484 0.7516 0.0000
As: 0.7516 0.2516 0.0000
As: 0.2516 0.2484 0.0000
S: 0.0000 0.0000 0.0000
S: 0.5000 0.5000 0.0000


Crystalline Na3Er2ScTe6 at its relaxed geometry, computed with PBE.

Summary:
E_form (uncorrected) = -1.2620 eV/atom
ρ = 5.44 g/cm³
magnetization = 0.00 μB/f.u.

a = 7.5279 Å, b = 7.5279 Å, c = 7.9634 Å
α = 99.08°, β = 99.08°, γ = 120.00°
Sites, in units of the cell vectors:
Na: 0.1700 0.8300 0.5000
Na: 0.8300 0.1700 0.5000
Na: 0.5000 0.5000 0.5000
Er: 0.3339 0.6661 0.0000
Er: 0.6661 0.3339 0.0000
Sc: 0.0000 0.0000 0.0000
Te: 0.9247 0.6006 0.7735
Te: 0.7522 0.7522 0.2270
Te: 0.0753 0.3994 0.2265
Te: 0.6006 0.9247 0.7735
Te: 0.2478 0.2478 0.7730
Te: 0.3994 0.0753 0.2265


Crystalline Pu5CdPd4 at its relaxed geometry, computed with PBE.

Summary:
density of states at the Fermi level = 42.7 states/eV/f.u.
ρ = 12.40 g/cm³
magnetization = 29.54 μB/f.u.
energy of formation = -0.180 eV/atom

a = 4.7658 Å, b = 6.9071 Å, c = 8.4601 Å
α = 62.99°, β = 106.36°, γ = 90.00°
Sites, in units of the cell vectors:
Pu: 0.8486 0.6663 0.6972
Pu: 0.8131 0.2432 0.6262
Pu: 0.1869 0.7568 0.3738
Pu: 0.5000 0.5000 0.0000
Pu: 0.1514 0.3337 0.3028
Cd: 0.5000 0.0000 0.0000
Pd: 0.3333 0.9438 0.6665
Pd: 0.9895 0.8019 0.9790
Pd: 0.6667 0.0562 0.3335
Pd: 0.0105 0.1981 0.0210


Crystalline RbLa2InO5 at its relaxed geometry, computed with PBE.

Summary:
E_form (uncorrected) = -2.4869 eV/atom
density of states at the Fermi level = 0.0 states/eV/f.u.
ρ = 6.06 g/cm³
magnetization = 0.00 μB/f.u.

a = 7.0488 Å, b = 7.0488 Å, c = 7.9193 Å
α = 116.43°, β = 116.43°, γ = 90.00°
Sites, in units of the cell vectors:
Rb: 0.2500 0.2500 0.5000
Rb: 0.7500 0.7500 0.5000
La: 0.1839 0.3161 0.0000
La: 0.6839 0.1839 0.0000
La: 0.3161 0.8161 0.0000
La: 0.8161 0.6839 0.0000
In: 0.2500 0.7500 0.5000
In: 0.7500 0.2500 0.5000
O: 0.9848 0.4848 0.2519
O: 0.7330 0.2330 0.7481
O: 0.0152 0.5152 0.7481
O: 0.2330 0.0152 0.7481
O: 0.5152 0.7330 0.7481
O: 0.7670 0.9848 0.2519
O: 0.4848 0.2670 0.2519
O: 0.2670 0.7670 0.2519
O: 0.5000 0.5000 0.0000
O: 0.0000 0.0000 0.0000


Crystalline Li2Mg2Cd2Sn at its relaxed geometry, computed with PBE.

Summary:
density of states at the Fermi level = 2.6 states/eV/f.u.
ρ = 4.59 g/cm³
magnetization = 0.00 μB/f.u.
energy of formation = -0.174 eV/atom

a = 4.9156 Å, b = 4.9156 Å, c = 7.5775 Å
α = 71.07°, β = 71.07°, γ = 60.00°
Sites, in units of the cell vectors:
Li: 0.5652 0.5652 0.3044
Li: 0.4348 0.4348 0.6956
Mg: 0.7140 0.7140 0.8581
Mg: 0.2860 0.2860 0.1419
Cd: 0.1479 0.1479 0.5562
Cd: 0.8521 0.8521 0.4438
Sn: 0.0000 0.0000 0.0000


Crystalline ZnCd5Au2 at its relaxed geometry, computed with PBE.

Summary:
density of states at the Fermi level = 1.3 states/eV/f.u.
ρ = 10.42 g/cm³
magnetization = 0.00 μB/f.u.
energy of formation = -0.092 eV/atom

a = 4.4011 Å, b = 5.3796 Å, c = 15.0614 Å
α = 90.00°, β = 90.00°, γ = 114.15°
Sites, in units of the cell vectors:
Zn: 0.7697 0.5394 0.7500
Zn: 0.2303 0.4606 0.2500
Cd: 0.9516 0.9032 0.8973
Cd: 0.9516 0.9032 0.6027
Cd: 0.3546 0.7092 0.4628
Cd: 0.3546 0.7092 0.0372
Cd: 0.5033 0.0066 0.2500
Cd: 0.4967 0.9934 0.7500
Cd: 0.6454 0.2908 0.5372
Cd: 0.6454 0.2908 0.9628
Cd: 0.0484 0.0968 0.1027
Cd: 0.0484 0.0968 0.3973
Au: 0.7581 0.5161 0.3533
Au: 0.7581 0.5161 0.1467
Au: 0.2419 0.4839 0.6467
Au: 0.2419 0.4839 0.8533


Crystalline CaB2Se at its relaxed geometry, computed with PBE.

Summary:
E_form (uncorrected) = 0.7083 eV/atom
density of states at the Fermi level = 0.3 states/eV/f.u.
ρ = 3.57 g/cm³
magnetization = 0.00 μB/f.u.

a = 6.4679 Å, b = 6.4679 Å, c = 5.5419 Å
α = 54.30°, β = 54.30°, γ = 90.00°
Sites, in units of the cell vectors:
Ca: 0.5000 0.5000 0.0000
Ca: 0.2500 0.7500 0.5000
B: 0.6900 0.1250 0.2500
B: 0.0600 0.6250 0.2500
B: 0.3750 0.3100 0.7500
B: 0.8750 0.9400 0.7500
Se: 0.0000 0.0000 0.0000
Se: 0.7500 0.2500 0.5000


Crystalline DyAg2SbS4 at its relaxed geometry, computed with PBE.

Summary:
E_form (uncorrected) = -0.7087 eV/atom
density of states at the Fermi level = 0.1 states/eV/f.u.
ρ = 6.04 g/cm³
magnetization = 0.00 μB/f.u.

a = 3.9890 Å, b = 6.6656 Å, c = 6.9679 Å
α = 68.80°, β = 90.00°, γ = 90.00°
Sites, in units of the cell vectors:
Dy: 0.0000 0.5000 0.5000
Ag: 0.0000 0.0000 0.0000
Ag: 0.5000 0.0000 0.5000
Sb: 0.5000 0.5000 0.0000
S: 0.0000 0.7467 0.7459
S: 0.0000 0.2533 0.2541
S: 0.5000 0.7402 0.2492
S: 0.5000 0.2598 0.7508


Crystalline LaCuRe2 at its relaxed geometry, computed with PBE.

Summary:
density of states at the Fermi level = 3.7 states/eV/f.u.
energy above the lowest structure with this stoichiometry = 53.0 kJ per mole of atoms
ρ = 13.80 g/cm³
magnetization = 0.00 μB/f.u.
energy of formation = 0.671 eV/atom

a = 2.7284 Å, b = 2.7284 Å, c = 9.2945 Å
α = 90.00°, β = 90.00°, γ = 90.06°
Sites, in units of the cell vectors:
Cu: 0.5000 0.5000 0.2500
La: 0.5000 0.5000 0.7500
Re: 0.0000 0.0000 0.0445
Re: 0.0000 0.0000 0.4555


Crystalline Co2MoW2 at its relaxed geometry, computed with PBE.

Summary:
density of states at the Fermi level = 4.7 states/eV/f.u.
energy above the lowest structure with this stoichiometry = 12.6 kJ per mole of atoms
ρ = 13.64 g/cm³
magnetization = 0.00 μB/f.u.
energy of formation = 0.282 eV/atom

a = 7.3112 Å, b = 7.3112 Å, c = 2.6492 Å
α = 90.00°, β = 90.00°, γ = 90.00°
Sites, in units of the cell vectors:
Mo: 0.0000 0.0000 0.0000
Mo: 0.5000 0.5000 0.0000
Co: 0.1722 0.6722 0.5000
Co: 0.6722 0.8278 0.5000
Co: 0.8278 0.3278 0.5000
Co: 0.3278 0.1722 0.5000
W: 0.3734 0.8734 0.0000
W: 0.8734 0.6266 0.0000
W: 0.6266 0.1266 0.0000
W: 0.1266 0.3734 0.0000


Crystalline Ta2Ir at its relaxed geometry, computed with PBE.

Summary:
density of states at the Fermi level = 2.6 states/eV/f.u.
ρ = 17.42 g/cm³
magnetization = 0.00 μB/f.u.
energy of formation = -0.418 eV/atom

a = 5.1952 Å, b = 5.1952 Å, c = 5.1952 Å
α = 104.91°, β = 104.91°, γ = 119.04°
Sites, in units of the cell vectors:
Ta: 0.6566 0.1566 0.8132
Ta: 0.1566 0.3434 0.5000
Ta: 0.8434 0.6566 0.5000
Ta: 0.3434 0.8434 0.1868
Ir: 0.7500 0.7500 0.0000
Ir: 0.2500 0.2500 0.0000


Crystalline Tl2HOF at its relaxed geometry, computed with PBE.

Summary:
density of states at the Fermi level = 0.2 states/eV/f.u.
energy above the lowest structure with this stoichiometry = 42.4 kJ per mole of atoms
ρ = 9.19 g/cm³
magnetization = 0.00 μB/f.u.

a = 5.3276 Å, b = 2.8304 Å, c = 5.3276 Å
α = 90.00°, β = 90.00°, γ = 90.00°
Sites, in units of the cell vectors:
H: 0.0000 0.5000 0.0000
Tl: 0.0000 0.0000 0.5000
Tl: 0.5000 0.0000 0.0000
O: 0.0000 0.0000 0.0000
F: 0.5000 0.5000 0.5000


Crystalline Ac8GaRh3Cl4 at its relaxed geometry, computed with PBE.

Summary:
E_form (uncorrected) = -1.1457 eV/atom
density of states at the Fermi level = 12.3 states/eV/f.u.
ρ = 7.30 g/cm³
magnetization = 0.00 μB/f.u.

a = 8.8463 Å, b = 9.3608 Å, c = 8.8437 Å
α = 118.24°, β = 120.01°, γ = 90.00°
Sites, in units of the cell vectors:
Ac: 0.2423 0.7043 0.9627
Ac: 0.2422 0.7043 0.4845
Ac: 0.2630 0.2896 0.5260
Ac: 0.7204 0.7043 0.9627
Ac: 0.2796 0.2957 0.0373
Ac: 0.7370 0.7104 0.4740
Ac: 0.7578 0.2957 0.5155
Ac: 0.7577 0.2957 0.0373
Ga: 0.0000 0.5000 0.0000
Rh: 0.5000 0.5000 0.0000
Rh: 0.5000 0.5000 0.5000
Rh: 0.0000 0.5000 0.5000
Cl: 0.5000 0.0000 0.0000
Cl: 0.5000 0.0000 0.5000
Cl: 0.0000 0.0000 0.0000
Cl: 0.0000 0.0000 0.5000


Crystalline CaPmSbPt at its relaxed geometry, computed with PBE.

Summary:
E_form (uncorrected) = -0.9181 eV/atom
density of states at the Fermi level = 1.4 states/eV/f.u.
ρ = 8.19 g/cm³
magnetization = 0.00 μB/f.u.

a = 5.2398 Å, b = 5.2398 Å, c = 5.2398 Å
α = 60.00°, β = 60.00°, γ = 60.00°
Sites, in units of the cell vectors:
Sb: 0.2500 0.2500 0.2500
Ca: 0.5000 0.5000 0.5000
Pt: 0.7500 0.7500 0.7500
Pm: 0.0000 0.0000 0.0000


Crystalline Mn8CrFe6 at its relaxed geometry, computed with PBE.

Summary:
density of states at the Fermi level = 22.4 states/eV/f.u.
ρ = 7.24 g/cm³
magnetization = 20.05 μB/f.u.
energy of formation = 0.472 eV/atom

a = 6.1905 Å, b = 6.1905 Å, c = 6.1905 Å
α = 66.05°, β = 66.05°, γ = 66.05°
Sites, in units of the cell vectors:
Mn: 0.2199 0.5327 0.8881
Mn: 0.1119 0.7801 0.4673
Mn: 0.4673 0.1119 0.7801
Mn: 0.6605 0.6605 0.6605
Mn: 0.3395 0.3395 0.3395
Mn: 0.5327 0.8881 0.2199
Mn: 0.8881 0.2199 0.5327
Mn: 0.7801 0.4673 0.1119
Cr: 0.0000 0.0000 0.0000
Fe: 0.0501 0.3733 0.7268
Fe: 0.2732 0.9499 0.6267
Fe: 0.6267 0.2732 0.9499
Fe: 0.3733 0.7268 0.0501
Fe: 0.7268 0.0501 0.3733
Fe: 0.9499 0.6267 0.2732


Crystalline ReOs2W at its relaxed geometry, computed with PBE.

Summary:
density of states at the Fermi level = 2.3 states/eV/f.u.
energy above the lowest structure with this stoichiometry = 14.5 kJ per mole of atoms
ρ = 20.60 g/cm³
magnetization = 0.00 μB/f.u.
energy of formation = 0.138 eV/atom

a = 9.2832 Å, b = 9.2832 Å, c = 9.2832 Å
α = 17.12°, β = 17.12°, γ = 17.12°
Sites, in units of the cell vectors:
Os: 0.9997 0.9997 0.9997
Os: 0.2487 0.2487 0.2487
Re: 0.5036 0.5036 0.5036
W: 0.7480 0.7480 0.7480


Crystalline NdSm2Y2Tm2 at its relaxed geometry, computed with PBE.

Summary:
density of states at the Fermi level = 12.1 states/eV/f.u.
ρ = 6.93 g/cm³
magnetization = 0.00 μB/f.u.
energy of formation = 0.221 eV/atom

a = 3.4164 Å, b = 14.6831 Å, c = 5.7002 Å
α = 54.42°, β = 90.00°, γ = 96.68°
Sites, in units of the cell vectors:
Nd: 0.0000 0.0000 0.5000
Sm: 0.8548 0.7096 0.9349
Sm: 0.1452 0.2904 0.0651
Y: 0.0768 0.1537 0.7700
Y: 0.9232 0.8463 0.2300
Tm: 0.2892 0.5783 0.6319
Tm: 0.7108 0.4217 0.3681


Crystalline TcRhAu at its relaxed geometry, computed with PBE.

Summary:
density of states at the Fermi level = 1.9 states/eV/f.u.
energy above the lowest structure with this stoichiometry = 0.0 kJ per mole of atoms
ρ = 14.12 g/cm³
magnetization = 0.00 μB/f.u.
energy of formation = -0.010 eV/atom

a = 2.7668 Å, b = 2.7668 Å, c = 12.2206 Å
α = 90.00°, β = 90.00°, γ = 90.00°
Sites, in units of the cell vectors:
Au: 0.0000 0.5000 0.5939
Au: 0.5000 0.0000 0.4061
Rh: 0.0000 0.5000 0.2288
Rh: 0.5000 0.0000 0.7712
Tc: 0.5000 0.0000 0.0846
Tc: 0.0000 0.5000 0.9154


Crystalline TmZrAlIn at its relaxed geometry, computed with PBE.

Summary:
density of states at the Fermi level = 3.5 states/eV/f.u.
ρ = 7.43 g/cm³
magnetization = 0.00 μB/f.u.
energy of formation = -0.255 eV/atom

a = 5.0272 Å, b = 5.0272 Å, c = 5.0272 Å
α = 60.00°, β = 60.00°, γ = 60.00°
Sites, in units of the cell vectors:
Tm: 0.0000 0.0000 0.0000
Al: 0.2500 0.2500 0.2500
Zr: 0.5000 0.5000 0.5000
In: 0.7500 0.7500 0.7500


Crystalline CsBaTl2Br8 at its relaxed geometry, computed with PBE.

Summary:
E_form (uncorrected) = -1.0872 eV/atom
density of states at the Fermi level = 8.7 states/eV/f.u.
ρ = 4.06 g/cm³
magnetization = 0.20 μB/f.u.

a = 7.4719 Å, b = 7.4719 Å, c = 11.1393 Å
α = 90.00°, β = 90.00°, γ = 120.00°
Sites, in units of the cell vectors:
Cs: 0.0000 0.0000 0.0000
Ba: 0.0000 0.0000 0.5000
Tl: 0.6667 0.3333 0.2342
Tl: 0.3333 0.6667 0.7658
Br: 0.3333 0.6667 0.0056
Br: 0.3175 0.3395 0.3088
Br: 0.6605 0.9780 0.3088
Br: 0.6667 0.3333 0.9944
Br: 0.3395 0.0220 0.6912
Br: 0.6825 0.6605 0.6912
Br: 0.9780 0.3175 0.6912
Br: 0.0220 0.6825 0.3088


Crystalline GdAl2Ge at its relaxed geometry, computed with PBE.

Summary:
density of states at the Fermi level = 1.7 states/eV/f.u.
energy above the lowest structure with this stoichiometry = 0.0 kJ per mole of atoms
ρ = 5.95 g/cm³
magnetization = 6.83 μB/f.u.
energy of formation = -0.431 eV/atom

a = 4.4463 Å, b = 4.2204 Å, c = 4.2204 Å
α = 90.00°, β = 90.00°, γ = 90.00°
Sites, in units of the cell vectors:
Ge: 0.5000 0.0000 0.0000
Gd: 0.5000 0.5000 0.5000
Al: 0.0000 0.0000 0.5000
Al: 0.0000 0.5000 0.0000


Crystalline TcH2Cl at its relaxed geometry, computed with PBE.

Summary:
density of states at the Fermi level = 3.1 states/eV/f.u.
energy above the lowest structure with this stoichiometry = 70.3 kJ per mole of atoms
ρ = 5.80 g/cm³
magnetization = 1.64 μB/f.u.

a = 3.8003 Å, b = 3.8003 Å, c = 3.8003 Å
α = 60.00°, β = 60.00°, γ = 60.00°
Sites, in units of the cell vectors:
H: 0.2500 0.2500 0.2500
H: 0.7500 0.7500 0.7500
Tc: 0.5000 0.5000 0.5000
Cl: 0.0000 0.0000 0.0000


Crystalline RbSb2Au at its relaxed geometry, computed with PBE.

Summary:
E_form (uncorrected) = 0.2523 eV/atom
density of states at the Fermi level = 2.5 states/eV/f.u.
energy above the lowest structure with this stoichiometry = 55.3 kJ per mole of atoms
ρ = 7.83 g/cm³
magnetization = 0.00 μB/f.u.

a = 5.4022 Å, b = 5.4022 Å, c = 5.4022 Å
α = 60.00°, β = 60.00°, γ = 60.00°
Sites, in units of the cell vectors:
Sb: 0.2500 0.2500 0.2500
Sb: 0.7500 0.7500 0.7500
Au: 0.5000 0.5000 0.5000
Rb: 0.0000 0.0000 0.0000